1.
Material: K5Tl2Te5
Method: DFT, PBE-GGA
State: relaxed

Output
Magnetization: 0.000 μB per atom
Raw formation energy: -8.64 eV per formula unit
Polymorph energy (0 for the lowest one): 0.0 meV/atom

Unit cell a=15.9782 b=4.8277 c=13.6187 alpha=90.00 beta=107.63 gamma=90.00
Space group C2/m (No. 12)
Symmetry-distinct sites (fractional):
1 K 0.0000 0.0000 0.0000 (multiplicity 2)
2 K 0.1616 0.0000 0.5570 (multiplicity 4)
3 K 0.2459 0.5000 0.1400 (multiplicity 4)
4 Tl 0.0392 0.5000 0.2962 (multiplicity 4)
5 Te 0.0000 0.5000 0.5000 (multiplicity 2)
6 Te 0.1078 0.5000 0.8895 (multiplicity 4)
7 Te 0.1626 0.0000 0.2953 (multiplicity 4)

2.
Material: K3TlTe
Method: DFT, PBE-GGA
State: relaxed

Output
Magnetization: 0.324 μB per atom
Raw formation energy: -1.79 eV per formula unit
Polymorph energy (0 for the lowest one): 0.0 meV/atom

Unit cell a=6.6531 b=6.6531 c=6.6531 alpha=90.00 beta=90.00 gamma=90.00
Space group Pm-3m (No. 221)
Symmetry-distinct sites (fractional):
1 K 0.0000 0.0000 0.5000 (multiplicity 3)
2 Tl 0.5000 0.5000 0.5000 (multiplicity 1)
3 Te 0.0000 0.0000 0.0000 (multiplicity 1)